# La3Hg2Ru PBE optimized geometry
data_La3Hg2Ru
_cell_length_a 15.4862
_cell_length_b 6.0775
_cell_length_c 8.0880
_cell_angle_alpha 90.00
_cell_angle_beta 105.31
_cell_angle_gamma 90.00
_space_group_name_H-M_alt 'C 1 2/c 1'
_space_group_IT_number 15
loop_
_space_group_symop_operation_xyz
'x,y,z'
'-x,-y,-z'
'-x,y,-z+1/2'
'x,-y,z+1/2'
'x+1/2,y+1/2,z'
'-x+1/2,-y+1/2,-z'
'-x+1/2,y+1/2,-z+1/2'
'x+1/2,-y+1/2,z+1/2'
loop_
_atom_site_label
_atom_site_fract_x
_atom_site_fract_y
_atom_site_fract_z
La1 0.0000 0.0016 0.2500
La2 0.1279 0.5003 0.0654
Hg1 0.1907 0.0005 0.0927
Ru1 0.0000 0.4918 0.2500
# Density of states at the Fermi level in states/eV per cell: 16.0
# Excess energy over the best structure of this formula in the dataset in eV per atom: 0.059
# ΔH_f (0 K) in meV per atom: -378
# Crystal system: monoclinic
# Electronic total energy in eV per cell: -107.71

***

# Mg2ZrHg PBE optimized geometry
data_Mg2ZrHg
_cell_length_a 11.3716
_cell_length_b 3.0850
_cell_length_c 5.3734
_cell_angle_alpha 90.00
_cell_angle_beta 111.19
_cell_angle_gamma 90.00
_space_group_name_H-M_alt 'C 1 2/m 1'
_space_group_IT_number 12
loop_
_space_group_symop_operation_xyz
'x,y,z'
'-x,-y,-z'
'-x,y,-z'
'x,-y,z'
'x+1/2,y+1/2,z'
'-x+1/2,-y+1/2,-z'
'-x+1/2,y+1/2,-z'
'x+1/2,-y+1/2,z'
loop_
_atom_site_label
_atom_site_fract_x
_atom_site_fract_y
_atom_site_fract_z
Mg1 0.2352 0.0000 0.2407
Zr1 0.0000 0.0000 0.5000
Hg1 0.0000 0.5000 0.0000
# Density of states at the Fermi level in states/eV per cell: 5.4
# ΔH_f (0 K) in meV per atom: -33
# Crystal system: monoclinic
# Electronic total energy in eV per cell: -24.35

***

# CeScIr2 PBE optimized geometry
data_CeScIr2
_cell_length_a 3.1762
_cell_length_b 3.1762
_cell_length_c 7.4176
_cell_angle_alpha 90.00
_cell_angle_beta 90.00
_cell_angle_gamma 90.00
_space_group_name_H-M_alt 'P 4/m m m'
_space_group_IT_number 123
_space_group_name_Hall '-P 4 2'
loop_
_atom_site_label
_atom_site_fract_x
_atom_site_fract_y
_atom_site_fract_z
Ce1 0.0000 0.0000 0.0000
Sc1 0.0000 0.0000 0.5000
Ir1 0.5000 0.5000 0.2763
# Density of states at the Fermi level in states/eV per cell: 5.1
# ΔH_f (0 K) in meV per atom: -790
# Crystal system: tetragonal
# Electronic total energy in eV per cell: -33.15

***

# ScZnCr2 PBE optimized geometry
data_ScZnCr2
_cell_length_a 2.7298
_cell_length_b 4.5662
_cell_length_c 4.8057
_cell_angle_alpha 90.00
_cell_angle_beta 96.03
_cell_angle_gamma 90.00
_space_group_name_H-M_alt 'P 1 2/m 1'
_space_group_IT_number 10
loop_
_space_group_symop_operation_xyz
'x,y,z'
'-x,-y,-z'
'-x,y,-z'
'x,-y,z'
loop_
_atom_site_label
_atom_site_fract_x
_atom_site_fract_y
_atom_site_fract_z
Sc1 0.0000 0.0000 0.0000
Zn1 0.5000 0.0000 0.5000
Cr1 0.3340 0.5000 0.7760
# Density of states at the Fermi level in states/eV per cell: 4.3
# ΔH_f (0 K) in meV per atom: 348
# Crystal system: monoclinic
# Electronic total energy in eV per cell: -25.46

***

# TiGe2HCl PBE optimized geometry
data_TiGe2HCl
_cell_length_a 5.0216
_cell_length_b 5.0216
_cell_length_c 4.6680
_cell_angle_alpha 90.00
_cell_angle_beta 90.00
_cell_angle_gamma 90.00
_space_group_name_H-M_alt 'P 4/m m m'
_space_group_IT_number 123
_space_group_name_Hall '-P 4 2'
loop_
_atom_site_label
_atom_site_fract_x
_atom_site_fract_y
_atom_site_fract_z
Ti1 0.0000 0.0000 0.0000
Ge1 0.0000 0.5000 0.0000
H1 0.5000 0.5000 0.5000
Cl1 0.0000 0.0000 0.5000
# Density of states at the Fermi level in states/eV per cell: 2.5
# Crystal system: tetragonal
# Electronic total energy in eV per cell: -20.06

***

# MgCd2Sn2 PBE optimized geometry
data_MgCd2Sn2
_cell_length_a 4.0003
_cell_length_b 4.0003
_cell_length_c 15.6798
_cell_angle_alpha 90.00
_cell_angle_beta 90.00
_cell_angle_gamma 90.00
_space_group_name_H-M_alt 'I 4/m m m'
_space_group_IT_number 139
_space_group_name_Hall '-I 4 2'
loop_
_atom_site_label
_atom_site_fract_x
_atom_site_fract_y
_atom_site_fract_z
Mg1 0.0000 0.0000 0.0000
Cd1 0.0000 0.0000 0.1979
Sn1 0.0000 0.0000 0.3961
# Density of states at the Fermi level in states/eV per cell: 5.5
# Excess energy over the best structure of this formula in the dataset in eV per atom: 0.000
# ΔH_f (0 K) in meV per atom: 12
# Crystal system: tetragonal
# Electronic total energy in eV per cell: -22.74

***

# TlInGaO4 PBE optimized geometry
data_TlInGaO4
_cell_length_a 6.3029
_cell_length_b 6.7173
_cell_length_c 9.2430
_cell_angle_alpha 90.00
_cell_angle_beta 90.00
_cell_angle_gamma 90.00
_space_group_name_H-M_alt 'I m m a'
_space_group_IT_number 74
_space_group_name_Hall '-I 2b 2'
loop_
_atom_site_label
_atom_site_fract_x
_atom_site_fract_y
_atom_site_fract_z
Tl1 0.2500 0.2500 0.2500
In1 0.0000 0.0000 0.0000
Ga1 0.0000 0.2500 0.6370
O1 0.0000 0.0212 0.7592
O2 0.2462 0.2500 0.9865
# Density of states at the Fermi level in states/eV per cell: 8.0
# Crystal system: orthorhombic
# Electronic total energy in eV per cell: -145.67

***

# RhSeBr2 PBE optimized geometry
data_RhSeBr2
_cell_length_a 3.0120
_cell_length_b 3.0120
_cell_length_c 36.9113
_cell_angle_alpha 90.00
_cell_angle_beta 90.00
_cell_angle_gamma 120.00
_space_group_name_H-M_alt 'R -3 m'
_space_group_IT_number 166
_space_group_name_Hall '-R 3 2"'
loop_
_atom_site_label
_atom_site_fract_x
_atom_site_fract_y
_atom_site_fract_z
Rh1 0.0000 0.0000 0.0000
Se1 0.0000 0.0000 0.5000
Br1 0.0000 0.0000 0.0644
# Density of states at the Fermi level in states/eV per cell: 14.0
# Excess energy over the best structure of this formula in the dataset in eV per atom: 0.678
# Crystal system: trigonal
# Electronic total energy in eV per cell: -37.47

***

# K2YRuO6 PBE optimized geometry
data_K2YRuO6
_cell_length_a 6.2030
_cell_length_b 6.2030
_cell_length_c 5.7604
_cell_angle_alpha 90.00
_cell_angle_beta 90.00
_cell_angle_gamma 120.00
_space_group_name_H-M_alt 'P -3 m 1'
_space_group_IT_number 164
_space_group_name_Hall '-P 3 2"'
loop_
_atom_site_label
_atom_site_fract_x
_atom_site_fract_y
_atom_site_fract_z
K1 0.3333 0.6667 0.3933
Y1 0.0000 0.0000 0.0000
Ru1 0.0000 0.0000 0.5000
O1 0.1414 0.2828 0.7048
# Density of states at the Fermi level in states/eV per cell: 5.6
# Crystal system: trigonal
# Electronic total energy in eV per cell: -63.42

***

# CaBe2FeSb PBE optimized geometry
data_CaBe2FeSb
_cell_length_a 4.8379
_cell_length_b 4.8379
_cell_length_c 4.3336
_cell_angle_alpha 90.00
_cell_angle_beta 90.00
_cell_angle_gamma 90.00
_space_group_name_H-M_alt 'P 4/m m m'
_space_group_IT_number 123
_space_group_name_Hall '-P 4 2'
loop_
_atom_site_label
_atom_site_fract_x
_atom_site_fract_y
_atom_site_fract_z
Ca1 0.0000 0.0000 0.0000
Be1 0.0000 0.5000 0.0000
Fe1 0.0000 0.0000 0.5000
Sb1 0.5000 0.5000 0.5000
# Density of states at the Fermi level in states/eV per cell: 5.6
# Crystal system: tetragonal
# Electronic total energy in eV per cell: -12.35

***

# CoAg2Mo PBE optimized geometry
data_CoAg2Mo
_cell_length_a 2.7657
_cell_length_b 2.7657
_cell_length_c 28.3916
_cell_angle_alpha 90.00
_cell_angle_beta 90.00
_cell_angle_gamma 120.00
_space_group_name_H-M_alt 'R -3 m'
_space_group_IT_number 166
_space_group_name_Hall '-R 3 2"'
loop_
_atom_site_label
_atom_site_fract_x
_atom_site_fract_y
_atom_site_fract_z
Co1 0.0000 0.0000 0.0000
Ag1 0.0000 0.0000 0.2539
Mo1 0.0000 0.0000 0.5000
# Density of states at the Fermi level in states/eV per cell: 15.3
# Excess energy over the best structure of this formula in the dataset in eV per atom: 0.260
# ΔH_f (0 K) in meV per atom: 539
# Crystal system: trigonal
# Electronic total energy in eV per cell: -64.45

***

# FeMo PBE optimized geometry
data_FeMo
_cell_length_a 9.9044
_cell_length_b 2.6603
_cell_length_c 6.3450
_cell_angle_alpha 90.00
_cell_angle_beta 106.13
_cell_angle_gamma 90.00
_space_group_name_H-M_alt 'C 1 m 1'
_space_group_IT_number 8
loop_
_space_group_symop_operation_xyz
'x,y,z'
'x,-y,z'
'x+1/2,y+1/2,z'
'x+1/2,-y+1/2,z'
loop_
_atom_site_label
_atom_site_fract_x
_atom_site_fract_y
_atom_site_fract_z
Fe1 0.0000 0.0000 0.0000
Fe2 0.0664 0.0000 0.5976
Fe3 0.1636 0.5000 0.3297
Mo1 0.1984 0.5000 0.9360
Mo2 0.3442 0.0000 0.6658
Mo3 0.3995 0.0000 0.2702
# Density of states at the Fermi level in states/eV per cell: 12.4
# ΔH_f (0 K) in meV per atom: 204
# Crystal system: monoclinic
# Electronic total energy in eV per cell: -113.31

***

# Tc2OsPd2 PBE optimized geometry
data_Tc2OsPd2
_cell_length_a 3.6330
_cell_length_b 3.6330
_cell_length_c 12.3008
_cell_angle_alpha 90.00
_cell_angle_beta 90.00
_cell_angle_gamma 90.00
_space_group_name_H-M_alt 'I 4/m m m'
_space_group_IT_number 139
_space_group_name_Hall '-I 4 2'
loop_
_atom_site_label
_atom_site_fract_x
_atom_site_fract_y
_atom_site_fract_z
Tc1 0.0000 0.0000 0.0910
Os1 0.0000 0.0000 0.5000
Pd1 0.0000 0.5000 0.2500
# Density of states at the Fermi level in states/eV per cell: 13.0
# Excess energy over the best structure of this formula in the dataset in eV per atom: 0.130
# ΔH_f (0 K) in meV per atom: 698
# Crystal system: tetragonal
# Electronic total energy in eV per cell: -77.72

***

# Ba2NaAg3 PBE optimized geometry
data_Ba2NaAg3
_cell_length_a 8.9212
_cell_length_b 10.1064
_cell_length_c 17.4588
_cell_angle_alpha 90.00
_cell_angle_beta 90.00
_cell_angle_gamma 90.00
_space_group_name_H-M_alt 'F m m m'
_space_group_IT_number 69
_space_group_name_Hall '-F 2 2'
loop_
_atom_site_label
_atom_site_fract_x
_atom_site_fract_y
_atom_site_fract_z
Ba1 0.2413 0.0000 0.0000
Ba2 0.2500 0.2500 0.2500
Na1 0.0000 0.0000 0.3347
Ag1 0.0000 0.0000 0.1647
Ag2 0.0000 0.2454 0.0820
# Density of states at the Fermi level in states/eV per cell: 21.6
# Excess energy over the best structure of this formula in the dataset in eV per atom: 0.000
# ΔH_f (0 K) in meV per atom: -185
# Crystal system: orthorhombic
# Electronic total energy in eV per cell: -118.64

***

# NaNd2Tl6 PBE optimized geometry
data_NaNd2Tl6
_cell_length_a 8.8246
_cell_length_b 16.7105
_cell_length_c 3.6387
_cell_angle_alpha 90.00
_cell_angle_beta 90.00
_cell_angle_gamma 90.00
_space_group_name_H-M_alt 'C m m m'
_space_group_IT_number 65
_space_group_name_Hall '-C 2 2'
loop_
_atom_site_label
_atom_site_fract_x
_atom_site_fract_y
_atom_site_fract_z
Na1 0.0000 0.0000 0.0000
Nd1 0.0000 0.3080 0.5000
Tl1 0.1802 0.5000 0.5000
Tl2 0.1841 0.1587 0.0000
# Density of states at the Fermi level in states/eV per cell: 10.5
# ΔH_f (0 K) in meV per atom: -133
# Crystal system: orthorhombic
# Electronic total energy in eV per cell: -52.50

***

# RhWSe2Br PBE optimized geometry
data_RhWSe2Br
_cell_length_a 4.8764
_cell_length_b 4.8764
_cell_length_c 5.0760
_cell_angle_alpha 90.00
_cell_angle_beta 90.00
_cell_angle_gamma 90.00
_space_group_name_H-M_alt 'P 4/m m m'
_space_group_IT_number 123
_space_group_name_Hall '-P 4 2'
loop_
_atom_site_label
_atom_site_fract_x
_atom_site_fract_y
_atom_site_fract_z
Rh1 0.0000 0.0000 0.0000
W1 0.5000 0.5000 0.5000
Se1 0.0000 0.5000 0.5000
Br1 0.5000 0.5000 0.0000
# Density of states at the Fermi level in states/eV per cell: 11.5
# Excess energy over the best structure of this formula in the dataset in eV per atom: 0.000
# Crystal system: tetragonal
# Electronic total energy in eV per cell: -24.50

***

# SrAcSnGe PBE optimized geometry
data_SrAcSnGe
_cell_length_a 7.9767
_cell_length_b 7.9767
_cell_length_c 7.9767
_cell_angle_alpha 90.00
_cell_angle_beta 90.00
_cell_angle_gamma 90.00
_space_group_name_H-M_alt 'F -4 3 m'
_space_group_IT_number 216
_space_group_name_Hall 'F -4 2 3'
loop_
_atom_site_label
_atom_site_fract_x
_atom_site_fract_y
_atom_site_fract_z
Sr1 0.0000 0.0000 0.0000
Ac1 0.0000 0.0000 0.5000
Sn1 0.2500 0.2500 0.7500
Ge1 0.2500 0.2500 0.2500
# Density of states at the Fermi level in states/eV per cell: 12.2
# Excess energy over the best structure of this formula in the dataset in eV per atom: 0.148
# ΔH_f (0 K) in meV per atom: -496
# Crystal system: cubic
# Electronic total energy in eV per cell: -65.57

***

# Ca2OsCl PBE optimized geometry
data_Ca2OsCl
_cell_length_a 7.4265
_cell_length_b 7.4265
_cell_length_c 7.6352
_cell_angle_alpha 90.00
_cell_angle_beta 90.00
_cell_angle_gamma 90.00
_space_group_name_H-M_alt 'I -4 2 d'
_space_group_IT_number 122
_space_group_name_Hall 'I -4 2bw'
loop_
_atom_site_label
_atom_site_fract_x
_atom_site_fract_y
_atom_site_fract_z
Ca1 0.2466 0.7500 0.1250
Os1 0.0000 0.0000 0.5000
Cl1 0.0000 0.0000 0.0000
# Density of states at the Fermi level in states/eV per cell: 3.4
# Excess energy over the best structure of this formula in the dataset in eV per atom: 0.509
# Crystal system: tetragonal
# Electronic total energy in eV per cell: -68.02

***

# SrSmPb6 PBE optimized geometry
data_SrSmPb6
_cell_length_a 4.9526
_cell_length_b 4.9526
_cell_length_c 10.0018
_cell_angle_alpha 90.00
_cell_angle_beta 90.00
_cell_angle_gamma 90.00
_space_group_name_H-M_alt 'P 4/m m m'
_space_group_IT_number 123
_space_group_name_Hall '-P 4 2'
loop_
_atom_site_label
_atom_site_fract_x
_atom_site_fract_y
_atom_site_fract_z
Sr1 0.0000 0.0000 0.0000
Sm1 0.0000 0.0000 0.5000
Pb1 0.0000 0.5000 0.2549
Pb2 0.5000 0.5000 0.0000
Pb3 0.5000 0.5000 0.5000
# Density of states at the Fermi level in states/eV per cell: 4.5
# ΔH_f (0 K) in meV per atom: -353
# Crystal system: tetragonal
# Electronic total energy in eV per cell: -31.47

***

# Tb8Te4AuS3 PBE optimized geometry
data_Tb8Te4AuS3
_cell_length_a 8.3016
_cell_length_b 8.3016
_cell_length_c 21.0197
_cell_angle_alpha 90.00
_cell_angle_beta 90.00
_cell_angle_gamma 120.00
_space_group_name_H-M_alt 'R -3 m'
_space_group_IT_number 166
_space_group_name_Hall '-R 3 2"'
loop_
_atom_site_label
_atom_site_fract_x
_atom_site_fract_y
_atom_site_fract_z
Tb1 0.0000 0.0000 0.2348
Tb2 0.0067 0.5034 0.7614
Te1 0.0000 0.0000 0.0000
Te2 0.0000 0.5000 0.0000
Au1 0.0000 0.0000 0.5000
S1 0.0000 0.5000 0.5000
# Density of states at the Fermi level in states/eV per cell: 20.4
# Crystal system: trigonal
# Electronic total energy in eV per cell: -268.75